# 1
Entry from the Alexandria database: a relaxed structure of Rb2HPbS (PBE).

## Properties
Total magnetic moment: 1.27 μB per cell
Final energy: -2.4377 eV/atom
SG: No. 123

Cell: 6.8091 6.8091 4.0352 Å, 90.00 90.00 90.00°
With the nearest neighbours (Å) after each atom.
Fractional coordinates of all 5 atoms:
Rb: 0.0000 0.5000 0.0000  2 Pb 3.40
Rb: 0.5000 0.0000 0.0000  2 Pb 3.40
H: 0.0000 0.0000 0.5000  2 Pb 2.02
Pb: 0.0000 0.0000 0.0000  2 H 2.02
S: 0.5000 0.5000 0.5000  8 Rb 3.96, 2 S 4.04

---

# 2
Entry from the Alexandria database: a relaxed structure of RbSc2HPb (PBE).

## Properties
Total magnetic moment: 1.48 μB per cell
Final energy: -3.9819 eV/atom
SG: No. 123

Cell: 4.8582 4.8582 4.9145 Å, 90.00 90.00 90.00°
With the nearest neighbours (Å) after each atom.
Fractional coordinates of all 5 atoms:
Rb: 0.0000 0.0000 0.0000  2 H 2.46
Sc: 0.0000 0.5000 0.5000  2 H 2.43
Sc: 0.5000 0.0000 0.5000  2 H 2.43
H: 0.0000 0.0000 0.5000  4 Sc 2.43, 2 Rb 2.46
Pb: 0.5000 0.5000 0.0000  4 Rb 3.44, 8 Sc 3.46

---

# 3
Entry from the Alexandria database: a relaxed structure of Rb2HPbSe2 (PBE).

## Properties
Total magnetic moment: 0.18 μB per cell
Final energy: -3.1082 eV/atom
SG: No. 72

Cell: 9.1076 9.1076 9.1076 Å, 104.43 93.49 133.61°
With the nearest neighbours (Å) after each atom.
Fractional coordinates of all 12 atoms:
Rb: 0.1082 0.1425 0.2508  2 H 2.75
Rb: 0.3918 0.6425 0.0343  2 H 2.75
Rb: 0.6082 0.3575 0.9657  2 H 2.75
Rb: 0.8918 0.8575 0.7492  2 H 2.75
H: 0.2500 0.2500 0.0000  4 Rb 2.75
H: 0.7500 0.7500 0.0000  4 Rb 2.75
Pb: 0.2500 0.7500 0.5000  4 Se 2.84
Pb: 0.7500 0.2500 0.5000  4 Se 2.84
Se: 0.1114 0.6537 0.7650  2 Pb 2.84
Se: 0.3886 0.1537 0.5423  2 Pb 2.84
Se: 0.6114 0.8463 0.4577  2 Pb 2.84
Se: 0.8886 0.3463 0.2350  2 Pb 2.84

---

# 4
Entry from the Alexandria database: a relaxed structure of RbTcH2Pb (PBE).

## Properties
Total magnetic moment: 1.32 μB per cell
Final energy: -2.9200 eV/atom
SG: No. 123

Cell: 4.2894 4.2894 5.3015 Å, 90.00 90.00 90.00°
With the nearest neighbours (Å) after each atom.
Fractional coordinates of all 5 atoms:
Rb: 0.0000 0.0000 0.0000  2 Tc 2.65
Tc: 0.0000 0.0000 0.5000  4 H 2.14
H: 0.0000 0.5000 0.5000  2 Tc 2.14
H: 0.5000 0.0000 0.5000  2 Tc 2.14
Pb: 0.5000 0.5000 0.0000  4 Rb 3.03

---

# 5
Entry from the Alexandria database: a relaxed structure of RbTeHPb2 (PBE).

## Properties
Total magnetic moment: 0.00 μB per cell
Final energy: -2.1900 eV/atom
SG: No. 123

Cell: 6.3443 6.3443 4.3351 Å, 90.00 90.00 90.00°
With the nearest neighbours (Å) after each atom.
Fractional coordinates of all 5 atoms:
Rb: 0.0000 0.0000 0.0000  2 H 2.17
Te: 0.5000 0.5000 0.5000  8 Pb 3.84
H: 0.0000 0.0000 0.5000  2 Rb 2.17
Pb: 0.0000 0.5000 0.0000  2 Rb 3.17
Pb: 0.5000 0.0000 0.0000  2 Rb 3.17

---

# 6
Entry from the Alexandria database: a relaxed structure of RbZr2HPb (PBE).

## Properties
Total magnetic moment: 3.35 μB per cell
Final energy: -3.6503 eV/atom
SG: No. 123

Cell: 5.5697 5.5697 7.2200 Å, 90.00 90.00 90.00°
With the nearest neighbours (Å) after each atom.
Fractional coordinates of all 5 atoms:
Rb: 0.0000 0.0000 0.0000  2 Pb 3.61, 4 H 3.94
Zr: 0.0000 0.5000 0.5000  2 Pb 2.78
Zr: 0.5000 0.0000 0.5000  2 Pb 2.78
H: 0.5000 0.5000 0.0000  4 Rb 3.94
Pb: 0.0000 0.0000 0.5000  4 Zr 2.78

---

# 7
Entry from the Alexandria database: a relaxed structure of Re2H8Pb (PBE).

## Properties
Total magnetic moment: 0.00 μB per cell
Final energy: -4.7583 eV/atom
SG: No. 8

Cell: 4.8342 4.8342 5.1216 Å, 91.45 91.45 120.81°
With the nearest neighbours (Å) after each atom.
Fractional coordinates of all 11 atoms:
Re: 0.1775 0.8225 0.0000  6 H 1.67-1.85
Re: 0.8225 0.1775 0.0000  6 H 1.67-1.85
H: 0.0158 0.0158 0.2092  2 Re 1.84, 3 H 1.94-2.04
H: 0.1268 0.4840 0.2118  2 Re 1.77-1.90
H: 0.1599 0.1599 0.8616  2 H 1.67, 2 Re 1.84
H: 0.2104 0.8976 0.6818  1 H 1.67, 1 Re 1.67
H: 0.4840 0.1268 0.2118  2 Re 1.77-1.90
H: 0.4975 0.7716 0.8795  2 Re 1.81-1.85
H: 0.7716 0.4975 0.8795  2 Re 1.81-1.85
H: 0.8976 0.2104 0.6818  1 H 1.67, 1 Re 1.67
Pb: 0.6215 0.6215 0.4471  5 H 2.29-2.49

---

# 8
Entry from the Alexandria database: a relaxed structure of ReH2Pb (PBE).

## Properties
Total magnetic moment: 1.78 μB per cell
Energy relative to the lowest polymorph listed for this composition: 0.000 eV/atom
SG: No. 122

Cell: 5.0332 5.0332 5.0332 Å, 107.70 107.70 113.06°
With the nearest neighbours (Å) after each atom.
Fractional coordinates of all 8 atoms:
Re: 0.0000 0.0000 0.0000  4 H 1.82
Re: 0.7500 0.2500 0.5000  4 H 1.82
H: 0.0096 0.1250 0.3846  2 Re 1.82
H: 0.3750 0.9904 0.1154  2 Re 1.82
H: 0.7404 0.6250 0.6154  2 Re 1.82
H: 0.8750 0.2596 0.8846  2 Re 1.82
Pb: 0.2500 0.7500 0.5000  8 H 2.68-2.72, 2 Re 2.78
Pb: 0.5000 0.5000 0.0000  8 H 2.68-2.72, 2 Re 2.78

---

Copy entry 6 word for word.
Entry from the Alexandria database: a relaxed structure of RbZr2HPb (PBE).

## Properties
Total magnetic moment: 3.35 μB per cell
Final energy: -3.6503 eV/atom
SG: No. 123

Cell: 5.5697 5.5697 7.2200 Å, 90.00 90.00 90.00°
With the nearest neighbours (Å) after each atom.
Fractional coordinates of all 5 atoms:
Rb: 0.0000 0.0000 0.0000  2 Pb 3.61, 4 H 3.94
Zr: 0.0000 0.5000 0.5000  2 Pb 2.78
Zr: 0.5000 0.0000 0.5000  2 Pb 2.78
H: 0.5000 0.5000 0.0000  4 Rb 3.94
Pb: 0.0000 0.0000 0.5000  4 Zr 2.78